MgMnCd2 | PBE | relaxed

Properties
formation enthalpy at 0 K	109	meV/atom
E_tot	-3.04	eV/atom
total magnetization	3.78	μB per cell

a = 3.341 Å, b = 3.516 Å, c = 6.618 Å
α = 90.00°, β = 90.18°, γ = 90.00°
Space group P2/m (No. 10)
Asymmetric unit:
Mg  0.000  0.000  0.000 (multiplicity 1)
Mn  0.000  0.000  0.500 (multiplicity 1)
Cd  0.500  0.500  0.266 (multiplicity 2)



ErPuMg2 | PBE | relaxed

Properties
formation enthalpy at 0 K	282	meV/atom
E_tot	-5.24	eV/atom
polymorph energy (0 for the lowest one)	199.7	meV per atom
total magnetization	18.13	μB per cell

a = 3.2324 Å, b = 3.2324 Å, c = 36.5120 Å
α = 90.00°, β = 90.00°, γ = 120.00°
Space group R-3m (No. 166, hexagonal axes)
Asymmetric unit:
Er  0.0000  0.0000  0.0000 (multiplicity 3)
Pu  0.0000  0.0000  0.5000 (multiplicity 3)
Mg  0.0000  0.0000  0.4114 (multiplicity 6)